No. 1
Here is a relaxed Rb2BSe2 crystal from Alexandria. Energies are from PBE-GGA.

a = 8.8018 Å, b = 8.8018 Å, c = 8.8018 Å
α = 106.91°, β = 85.37°, γ = 142.16°
With the nearest neighbours (Å) after each atom.
Atoms (fractional coordinates):
Rb (0.1269, 0.1896, 0.3165)  4 Se 3.59-3.79, 2 B 3.91
Rb (0.3731, 0.6896, 0.0627)  4 Se 3.59-3.79, 2 B 3.91
Rb (0.6269, 0.3104, 0.9373)  4 Se 3.59-3.79, 2 B 3.91
Rb (0.8731, 0.8104, 0.6835)  4 Se 3.59-3.79, 2 B 3.91
B (0.2500, 0.7500, 0.5000)  4 Se 2.10
B (0.7500, 0.2500, 0.5000)  4 Se 2.10
Se (0.0898, 0.5963, 0.6861)  2 B 2.10
Se (0.4102, 0.0963, 0.5065)  2 B 2.10
Se (0.5898, 0.9037, 0.4935)  2 B 2.10
Se (0.9102, 0.4037, 0.3139)  2 B 2.10

Calculated values
Total magnetic moment: 0.000 μB per atom
Excess energy over the best structure of this formula in the dataset: 0.0000 eV per atom
E_tot: -3.556 eV per atom

No. 2
Here is a relaxed CaCu2Ag2 crystal from Alexandria. Energies are from PBE-GGA.

a = 7.6465 Å, b = 7.6465 Å, c = 3.1103 Å
α = 90.00°, β = 90.00°, γ = 90.00°
With the nearest neighbours (Å) after each atom.
Atoms (fractional coordinates):
Ca (0.0000, 0.0000, 0.0000)  4 Ag 2.99, 2 Ca 3.11, 8 Cu 3.25
Ca (0.5000, 0.5000, 0.0000)  4 Ag 2.99, 2 Ca 3.11, 8 Cu 3.25
Cu (0.1641, 0.3359, 0.5000)  6 Ag 2.70-2.76
Cu (0.3359, 0.8359, 0.5000)  6 Ag 2.70-2.76
Cu (0.6641, 0.1641, 0.5000)  6 Ag 2.70-2.76
Cu (0.8359, 0.6641, 0.5000)  6 Ag 2.70-2.76
Ag (0.1319, 0.6319, 0.0000)  6 Cu 2.70-2.76, 1 Ag 2.85, 2 Ca 2.99
Ag (0.3681, 0.1319, 0.0000)  6 Cu 2.70-2.76, 1 Ag 2.85, 2 Ca 2.99
Ag (0.6319, 0.8681, 0.0000)  6 Cu 2.70-2.76, 1 Ag 2.85, 2 Ca 2.99
Ag (0.8681, 0.3681, 0.0000)  6 Cu 2.70-2.76, 1 Ag 2.85, 2 Ca 2.99

Calculated values
Total magnetic moment: 0.000 μB per atom
Excess energy over the best structure of this formula in the dataset: 0.0957 eV per atom
E_tot: -3.149 eV per atom
ΔE_f: 0.030 eV per atom

No. 3
Here is a relaxed NaMgPd2 crystal from Alexandria. Energies are from PBE-GGA.

a = 9.1495 Å, b = 9.1495 Å, c = 9.1495 Å
α = 18.89°, β = 18.89°, γ = 18.89°
With the nearest neighbours (Å) after each atom.
Atoms (fractional coordinates):
Na (0.0000, 0.0000, 0.0000)  6 Na 3.00, 6 Pd 3.00
Mg (0.5000, 0.5000, 0.5000)  6 Pd 2.68
Pd (0.2423, 0.2423, 0.2423)  3 Mg 2.68
Pd (0.7577, 0.7577, 0.7577)  3 Mg 2.68

Calculated values
Total magnetic moment: 0.000 μB per atom
E_tot: -3.630 eV per atom
ΔE_f: -0.305 eV per atom

No. 4
Here is a relaxed Sm6Ni2SeI3 crystal from Alexandria. Energies are from PBE-GGA.

a = 7.2757 Å, b = 7.2757 Å, c = 8.1025 Å
α = 98.63°, β = 98.63°, γ = 119.84°
With the nearest neighbours (Å) after each atom.
Atoms (fractional coordinates):
Sm (0.0790, 0.4374, 0.8146)  2 Ni 2.74, 1 Se 2.98
Sm (0.2030, 0.2030, 0.1845)  2 Ni 2.74, 1 Se 2.98
Sm (0.4374, 0.0790, 0.8146)  2 Ni 2.74, 1 Se 2.98
Sm (0.5626, 0.9210, 0.1854)  2 Ni 2.74, 1 Se 2.98
Sm (0.7970, 0.7970, 0.8155)  2 Ni 2.74, 1 Se 2.98
Sm (0.9210, 0.5626, 0.1854)  2 Ni 2.74, 1 Se 2.98
Ni (0.1670, 0.8330, 0.0000)  6 Sm 2.74
Ni (0.8330, 0.1670, 0.0000)  6 Sm 2.74
Se (0.5000, 0.5000, 0.0000)  6 Sm 2.98
I (0.0000, 0.0000, 0.5000)  6 Sm 3.32-3.50
I (0.3387, 0.6613, 0.5000)  6 Sm 3.35-3.51
I (0.6613, 0.3387, 0.5000)  6 Sm 3.35-3.51

Calculated values
Total magnetic moment: 0.000 μB per atom
E_tot: -4.908 eV per atom

> Which of these has the lowest E_tot?

Sm6Ni2SeI3

> What is the formula in the first record?

Rb2BSe2